An optimized crystal structure of MgCu2MoP. Source: Alexandria via LeMat-Bulk, functional PBE-GGA.

Calculated values
- ΔE_f (meV per atom) = 791
- space-group type = P4/mmm, No. 123

abc: 4.305 4.305 4.823
angles: 90.00 90.00 90.00
Fractional coordinates of all 5 atoms:
1 Mg 0.000 0.000 0.000
2 Cu 0.000 0.500 0.500
3 Cu 0.500 0.000 0.500
4 Mo 0.500 0.500 0.000
5 P 0.000 0.000 0.500